First-principles (GGA-PBE) data for crystalline CsKAu2 at its relaxed geometry, as listed in the Alexandria database.

Lattice parameters (Å, degrees): 8.941 8.941 8.941 31.78 31.78 31.78
Sites, in units of the cell vectors:
Cs  0.000  0.000  0.000
K  0.169  0.169  0.169
Au  0.578  0.578  0.578
Au  0.758  0.758  0.758

Values from the calculation:
- Energy relative to the elements: -0.2668 eV per atom
- SG: R3m
- Size of the total moment: 0.000 μB per formula unit

---

First-principles (GGA-PBE) data for crystalline Cs3K2Au3 at its relaxed geometry, as listed in the Alexandria database.

Lattice parameters (Å, degrees): 14.750 14.750 14.750 162.96 155.79 29.75
Sites, in units of the cell vectors:
Cs  0.000  0.000  0.000
Cs  0.396  0.896  0.500
Cs  0.604  0.104  0.500
K  0.205  0.205  0.000
K  0.795  0.795  0.000
Au  0.113  0.613  0.500
Au  0.500  0.500  0.000
Au  0.887  0.387  0.500

Values from the calculation:
- Energy relative to the elements: -0.2508 eV per atom
- SG: Immm
- Size of the total moment: 0.000 μB per formula unit

---

What is the formula in the first record?
CsKAu2

---

The highest energy relative to the elements belongs to which entry?
Cs3K2Au3

---

Among the records above, which one has the lowest energy relative to the elements?
CsKAu2